First-principles (PBE) data for LuZn3 after structural relaxation, as listed in Alexandria via LeMat-Bulk.

Calculated values
Formation enthalpy at 0 K: -0.2074 eV/atom
Space-group type: P4/mmm (123)

abc: 4.107 4.107 4.371
angles: 90.00 90.00 90.00
Atoms (fractional coordinates):
Lu1 0.000 0.000 0.000
Zn1 0.000 0.500 0.500
Zn2 0.500 0.000 0.500
Zn3 0.500 0.500 0.000



First-principles (PBE) data for Zr4GeIr after structural relaxation, as listed in Alexandria via LeMat-Bulk.

Calculated values
Formation enthalpy at 0 K: -0.4340 eV/atom
Space-group type: I4/mcm (140)

abc: 7.355 7.355 7.355
angles: 125.93 125.93 80.01
Atoms (fractional coordinates):
Zr1 0.027 0.527 0.826
Zr2 0.202 0.027 0.500
Zr3 0.298 0.798 0.826
Zr4 0.473 0.298 0.500
Zr5 0.527 0.702 0.500
Zr6 0.702 0.202 0.174
Zr7 0.798 0.973 0.500
Zr8 0.973 0.473 0.174
Ge1 0.000 0.000 0.000
Ge2 0.500 0.500 0.000
Ir1 0.250 0.250 0.000
Ir2 0.750 0.750 0.000



First-principles (PBE) data for NaEu2Pu after structural relaxation, as listed in Alexandria via LeMat-Bulk.

Calculated values
Formation enthalpy at 0 K: 0.1891 eV/atom
Space-group type: P4/mmm (123)

abc: 3.663 3.663 10.999
angles: 90.00 90.00 90.00
Atoms (fractional coordinates):
Na1 0.000 0.000 0.000
Eu1 0.500 0.500 0.267
Eu2 0.500 0.500 0.733
Pu1 0.000 0.000 0.500



First-principles (PBE) data for ZnFe2P after structural relaxation, as listed in Alexandria via LeMat-Bulk.

Calculated values
Formation enthalpy at 0 K: 0.0088 eV/atom
Space-group type: C2/m (12)

abc: 3.919 3.919 4.914
angles: 101.00 101.00 40.73
Atoms (fractional coordinates):
Zn1 0.000 0.000 0.000
Fe1 0.238 0.238 0.717
Fe2 0.762 0.762 0.283
P1 0.500 0.500 0.500



First-principles (PBE) data for Al6Ga2Pd after structural relaxation, as listed in Alexandria via LeMat-Bulk.

Calculated values
Polymorph energy (0 for the lowest one): 71.1 meV per atom
Formation enthalpy at 0 K: -0.1241 eV/atom
Space-group type: P2_1/c (14)

abc: 6.527 5.921 8.227
angles: 90.00 90.45 90.00
Atoms (fractional coordinates):
Al1 0.067 0.198 0.227
Al2 0.067 0.302 0.727
Al3 0.227 0.655 0.535
Al4 0.227 0.845 0.035
Al5 0.357 0.174 0.490
Al6 0.357 0.326 0.990
Al7 0.643 0.674 0.010
Al8 0.643 0.826 0.510
Al9 0.773 0.155 0.965
Al10 0.773 0.345 0.465
Al11 0.933 0.698 0.273
Al12 0.933 0.802 0.773
Ga1 0.455 0.538 0.283
Ga2 0.455 0.962 0.783
Ga3 0.545 0.038 0.217
Ga4 0.545 0.462 0.717
Pd1 0.000 0.000 0.500
Pd2 0.000 0.500 0.000



First-principles (PBE) data for Er3Al2BRu3 after structural relaxation, as listed in Alexandria via LeMat-Bulk.

Calculated values
Formation enthalpy at 0 K: -0.3996 eV/atom
Space-group type: P-62m (189)

abc: 7.235 7.235 3.453
angles: 90.00 90.00 120.00
Atoms (fractional coordinates):
Er1 0.000 0.360 0.000
Er2 0.360 0.000 0.000
Er3 0.640 0.640 0.000
Al1 0.333 0.667 0.500
Al2 0.667 0.333 0.500
B1 0.000 0.000 0.000
Ru1 0.000 0.768 0.500
Ru2 0.232 0.232 0.500
Ru3 0.768 0.000 0.500